DFT (PBE) results for Pm4Sm3Tm after structural relaxation.

Values from the calculation:
Energy above the most stable polymorph in this dataset ... 0.0 meV/atom
SG ... No. 53
Formation enthalpy at 0 K ... 15 meV/atom
Total moment ... 0.00 μB per cell

POSCAR file:
```
Pm4Sm3Tm
1.0
-0.461 -3.293 6.437
0.456 -6.450 -3.267
10.185 0.278 0.872
Tm Sm Pm
2 6 8
Direct
0.500 0.811 0.000
0.500 0.311 0.500
0.000 0.310 0.000
0.252 0.061 0.750
0.748 0.561 0.750
0.000 0.810 0.500
0.748 0.561 0.250
0.252 0.061 0.250
0.000 0.811 0.000
0.500 0.310 0.000
0.748 0.061 0.750
0.252 0.561 0.750
0.500 0.810 0.500
0.000 0.311 0.500
0.252 0.561 0.250
0.748 0.061 0.250
```